A plane-wave DFT calculation with GGA+U was carried out for a relaxed BaNdMo2O8 crystal.

POSCAR file:
```
BaNdMo2O8
1.0
6.056 0.000 0.000
-3.028 5.245 0.000
0.000 0.000 7.702
Ba Nd Mo O
1 1 2 8
Cartesian
0.000 0.000 0.000
0.000 0.000 3.851
0.000 3.497 6.015
3.028 1.748 1.688
0.000 1.747 5.439
-1.515 4.371 5.439
1.513 0.874 2.263
0.000 3.497 0.095
3.028 1.748 7.607
1.515 4.371 5.439
4.543 0.874 2.263
3.028 3.498 2.263
```

Density of states at the Fermi level = 0.47 states/eV/atom
Mass density = 4.1 g cm⁻³
Electronic total energy = -7.26 eV per atom